CsLiMnP2 | Alexandria via LeMat-Bulk | PBE | relaxed; VASP energy = -3.25 eV per atom; ΔH_f (0 K) = 1305 meV/atom; symmetry = P4/mmm, No. 123
1.0
4.831 0.000 0.000
0.000 4.831 0.000
0.000 0.000 5.058
Cs Li Mn P
1 1 1 2
Direct
0.000 0.000 0.000
0.000 0.000 0.500
0.500 0.500 0.000
0.000 0.500 0.500
0.500 0.000 0.500

***

CsLiMnRh2 | Alexandria via LeMat-Bulk | PBE | relaxed; VASP energy = -4.34 eV per atom; ΔH_f (0 K) = 984 meV/atom; symmetry = P4/mmm, No. 123
1.0
4.552 0.000 0.000
0.000 4.552 0.000
0.000 0.000 5.498
Cs Li Mn Rh
1 1 1 2
Direct
0.000 0.000 0.000
0.500 0.500 0.000
0.000 0.000 0.500
0.000 0.500 0.500
0.500 0.000 0.500

***

CsLiMnS2 | Alexandria via LeMat-Bulk | PBE | relaxed; VASP energy = -4.99 eV per atom; E_form (uncorrected) = -0.956 eV/atom; symmetry = Cmme, No. 67
1.0
3.044 -7.234 0.000
3.044 7.234 0.000
0.000 0.000 6.123
Cs Li Mn S
2 2 2 4
Direct
0.250 0.750 0.752
0.750 0.250 0.248
0.000 0.000 0.000
0.500 0.500 0.000
0.250 0.250 0.500
0.750 0.750 0.500
0.098 0.902 0.290
0.402 0.598 0.290
0.598 0.402 0.710
0.902 0.098 0.710

***

Number 2 is which compound? CsLiMnRh2

***

Which formula does entry 1 have? CsLiMnP2